The following is a DFT calculation (PBE) of InSBr2 after structural relaxation.

Cell: 10.1548 10.1548 7.6140 Å, 48.18 48.18 90.00°
Last column: magnetic moment on the atom in μB.
Positions (direct):
1 S 0.5000 0.5000 0.0000  0.45
2 In 0.0000 0.0000 0.0000  -0.02
3 Br 0.8750 0.0254 0.7500  0.11
4 Br 0.9746 0.6250 0.2500  0.12
5 Br 0.7754 0.1250 0.2500  0.12
6 In 0.7500 0.2500 0.5000  -0.02
7 Br 0.3750 0.2246 0.7500  0.12
8 S 0.2500 0.7500 0.5000  0.45

Computed properties:
E ... -21.5 eV for the cell shown
Symmetry ... No. 122



The following is a DFT calculation (PBE) of InSBr2 after structural relaxation.

Cell: 6.3666 6.3767 7.4531 Å, 80.67 73.59 65.63°
Positions (direct):
1 Br 0.4484 0.8946 0.7796
2 In 0.0000 0.0000 0.0000
3 Br 0.1919 0.7623 0.2958
4 Br 0.5516 0.1054 0.2204
5 S 0.9003 0.4245 0.1025
6 In 0.5000 0.5000 0.0000
7 Br 0.8081 0.2377 0.7042
8 S 0.0997 0.5755 0.8975

Computed properties:
E ... -25.3 eV for the cell shown
Symmetry ... No. 2



The following is a DFT calculation (PBE) of InSBr2 after structural relaxation.

Cell: 5.1151 7.0807 8.0557 Å, 80.25 78.44 84.77°
Positions (direct):
1 S 0.1742 0.4816 0.9102
2 S 0.8258 0.5184 0.0898
3 In 0.5367 0.7496 0.9038
4 Br 0.3111 0.2870 0.4061
5 Br 0.6889 0.7130 0.5939
6 In 0.4633 0.2504 0.0962
7 Br 0.2253 0.8977 0.1617
8 Br 0.7747 0.1023 0.8383

Computed properties:
E ... -24.9 eV for the cell shown
Symmetry ... No. 2



The following is a DFT calculation (PBE) of InS3Br3 after structural relaxation.

Cell: 10.3523 9.2570 8.4933 Å, 60.34 55.90 60.59°
Positions (direct):
1 Br 0.3628 0.4478 0.9295
2 Br 0.0128 0.7016 0.5412
3 S 0.8313 0.9249 0.9695
4 In 0.2495 0.1921 0.1816
5 Br 0.4510 0.9280 0.3115
6 S 0.9283 0.0838 0.2315
7 In 0.7505 0.8079 0.8184
8 S 0.9746 0.3035 0.9826
9 S 0.1687 0.0751 0.0305
10 Br 0.9872 0.2984 0.4588
11 S 0.0717 0.9162 0.7685
12 Br 0.5490 0.0720 0.6885
13 S 0.0254 0.6965 0.0174
14 Br 0.6372 0.5522 0.0705

Computed properties:
E ... -44.0 eV for the cell shown
Symmetry ... No. 2



no.,theoretical density (g/cm³)
1,3.9
2,3.9
3,3.6
4,2.7